Entry 1:
The following is a PBE calculation of a relaxed Cd2SiOs crystal, from the Alexandria database.

abc: 3.3655 3.9915 5.2406
angles: 90.00 90.00 90.00
Sites, in units of the cell vectors:
Cd 0.0000 0.0000 0.4977
Os 0.5000 0.5000 0.2500
Cd 0.0000 0.0000 0.0023
Si 0.5000 0.5000 0.7500

Formation energy from raw total energies in eV per formula unit: 2.29


Entry 2:
The following is a PBE calculation of a relaxed KZn4Tc crystal, from the Alexandria database.

abc: 5.3131 5.3131 5.3131
angles: 60.00 60.00 60.00
Last column: magnetic moment on the atom in μB.
Sites, in units of the cell vectors:
Tc 0.0000 0.0000 0.0000  2.03
Zn 0.3727 0.3727 0.3727  -0.02
Zn 0.3727 0.3727 0.8819  -0.02
Zn 0.3727 0.8819 0.3727  -0.02
K 0.7500 0.7500 0.7500  0.02
Zn 0.8819 0.3727 0.3727  -0.02

Energy relative to the elements in eV per atom: 0.464


Entry 3:
The following is a PBE calculation of a relaxed UCu2RhO8 crystal, from the Alexandria database.

abc: 5.7750 5.7750 5.7750
angles: 112.08 112.08 104.37
Last column: magnetic moment on the atom in μB.
Sites, in units of the cell vectors:
U 0.0000 0.0000 0.0000  -0.04
O 0.2971 0.4976 0.2005  0.19
Cu 0.5000 0.5000 0.0000  0.13
O 0.3617 0.0576 0.3041  -0.05
O 0.9424 0.2465 0.3041  -0.05
O 0.5024 0.7029 0.7995  0.19
Rh 0.2500 0.7500 0.5000  1.14
Cu 0.7500 0.2500 0.5000  -0.36
O 0.7535 0.0576 0.6959  -0.05
O 0.9424 0.6383 0.6959  -0.05
O 0.9033 0.7029 0.2005  0.19
O 0.2971 0.0967 0.7995  0.19

Formation energy from raw total energies in eV per formula unit: -12.50


Entry 4:
The following is a PBE calculation of a relaxed CaPm2Nd crystal, from the Alexandria database.

abc: 5.8797 5.8797 5.8797
angles: 60.00 60.00 60.00
Sites, in units of the cell vectors:
Pm 0.7500 0.7500 0.7500
Pm 0.2500 0.2500 0.2500
Ca 0.5000 0.5000 0.5000
Nd 0.0000 0.0000 0.0000

Energy relative to the elements in eV per atom: 0.139
Relative energy among the computed polymorphs in kJ/mol of atoms: 9.35


Entry 5:
The following is a PBE calculation of a relaxed TbSm5YTm2 crystal, from the Alexandria database.

abc: 5.6221 10.5107 10.5968
angles: 90.00 90.00 105.51
Sites, in units of the cell vectors:
Sm 0.0161 0.0321 0.0198
Sm 0.6118 0.2236 0.5235
Sm 0.9839 0.9679 0.5198
Sm 0.7012 0.4025 0.2078
Y 0.5902 0.1805 0.9571
Sm 0.4804 0.9607 0.7416
Sm 0.7206 0.4411 0.8112
Y 0.4098 0.8195 0.4571
Tb 0.8008 0.6015 0.5118
Sm 0.5196 0.0393 0.2416
Sm 0.3882 0.7764 0.0235
Tm 0.8881 0.7762 0.2378
Tm 0.8856 0.7713 0.8133
Tm 0.1119 0.2238 0.7378
Sm 0.2988 0.5975 0.7078
Tm 0.1144 0.2287 0.3133
Sm 0.2794 0.5589 0.3112
Tb 0.1992 0.3985 0.0118

Energy relative to the elements in eV per atom: 0.156


Entry 6:
The following is a PBE calculation of a relaxed SnPdAu14 crystal, from the Alexandria database.

abc: 5.9355 5.9355 9.7061
angles: 90.00 90.00 121.81
Sites, in units of the cell vectors:
Au 0.7107 0.7885 0.0000
Au 0.2113 0.7887 0.0000
Sn 0.0386 0.9614 0.5000
Au 0.3761 0.6239 0.2518
Au 0.8741 0.1259 0.2473
Au 0.0375 0.4600 0.5000
Au 0.3764 0.1264 0.7502
Au 0.7109 0.2891 0.0000
Au 0.8741 0.1259 0.7527
Au 0.8736 0.6236 0.7502
Au 0.3761 0.6239 0.7482
Au 0.8736 0.6236 0.2498
Au 0.5400 0.9625 0.5000
Pd 0.5389 0.4611 0.5000
Au 0.3764 0.1264 0.2498
Au 0.2115 0.2893 0.0000

Energy relative to the elements in eV per atom: -0.036


Entry 7:
The following is a PBE calculation of a relaxed Sc5TlIr crystal, from the Alexandria database.

abc: 5.3845 5.3845 11.2549
angles: 79.82 79.82 83.59
Sites, in units of the cell vectors:
Sc 0.5673 0.9248 0.6213
Sc 0.0752 0.4327 0.8787
Sc 0.7952 0.4768 0.4295
Sc 0.5232 0.2048 0.0705
Ir 0.0000 0.0000 0.5000
Tl 0.6058 0.3942 0.7500
Sc 0.0130 0.9870 0.7500
Sc 0.4327 0.0752 0.3787
Sc 0.2048 0.5232 0.5705
Sc 0.9870 0.0130 0.2500
Ir 0.0000 0.0000 0.0000
Sc 0.4768 0.7952 0.9295
Sc 0.9248 0.5673 0.1213
Tl 0.3942 0.6058 0.2500

Energy relative to the elements in eV per atom: -0.284


Entry 8:
The following is a PBE calculation of a relaxed DyEr3Tl3 crystal, from the Alexandria database.

abc: 5.2138 9.3279 9.3279
angles: 120.00 90.00 90.00
Sites, in units of the cell vectors:
Tl 0.2500 0.3767 0.4500
Tl 0.7500 0.6233 0.5500
Dy 0.7500 0.3333 0.6667
Dy 0.2500 0.6667 0.3333
Tl 0.7500 0.9267 0.3767
Er 0.2500 0.7709 0.7675
Er 0.2500 0.2325 0.0034
Er 0.2500 0.9966 0.2291
Tl 0.2500 0.5500 0.9267
Er 0.7500 0.0034 0.7709
Er 0.7500 0.7675 0.9966
Er 0.7500 0.2291 0.2325
Tl 0.7500 0.4500 0.0733
Tl 0.2500 0.0733 0.6233

Energy relative to the elements in eV per atom: -0.212


Entry 9:
The following is a PBE calculation of a relaxed MnNbSBr2 crystal, from the Alexandria database.

abc: 5.3748 4.7391 5.3748
angles: 90.00 90.00 90.00
Last column: magnetic moment on the atom in μB.
Sites, in units of the cell vectors:
S 0.0000 0.5000 0.0000  -0.02
Mn 0.5000 0.5000 0.5000  4.74
Nb 0.0000 0.0000 0.0000  1.17
Br 0.5000 0.0000 0.0000  0.08
Br 0.0000 0.0000 0.5000  0.06

Formation energy from raw total energies in eV per formula unit: 0.33


Entry 10:
The following is a PBE calculation of a relaxed Cu5Rh3 crystal, from the Alexandria database.

abc: 4.7347 7.0688 7.2002
angles: 83.59 70.51 70.43
Last column: magnetic moment on the atom in μB.
Sites, in units of the cell vectors:
Rh 0.7367 0.5000 0.8447  0.07
Rh 0.2628 0.5000 0.1564  0.07
Rh 0.2758 0.9489 0.0001  0.20
Cu 0.9317 0.8337 0.3154  0.02
Cu 0.2318 0.5000 0.5302  0.01
Cu 0.8506 0.3097 0.1554  0.01
Cu 0.7683 0.5000 0.4707  0.01
Cu 0.2654 0.1663 0.3154  0.02
Rh 0.6706 0.1589 0.5006  0.06
Rh 0.7247 0.0511 0.0001  0.20
Cu 0.3392 0.3098 0.8457  0.01
Rh 0.3295 0.8411 0.5006  0.06
Cu 0.6603 0.6903 0.1554  0.01
Cu 0.1490 0.6902 0.8457  0.01
Cu 0.7352 0.8333 0.6851  0.02
Cu 0.0685 0.1667 0.6851  0.02

Energy relative to the elements in eV per atom: 0.204
Relative energy among the computed polymorphs in kJ/mol of atoms: 15.35


Entry 11:
The following is a PBE calculation of a relaxed NdHoCd4 crystal, from the Alexandria database.

abc: 3.4413 5.0307 9.3678
angles: 90.00 111.55 90.00
Sites, in units of the cell vectors:
Cd 0.3380 0.4974 0.3354
Cd 0.8291 0.9973 0.8266
Cd 0.1731 0.9974 0.1697
Ho 0.0013 0.9972 0.4982
Cd 0.6650 0.4973 0.6608
Nd 0.5013 0.4972 0.9981

Energy relative to the elements in eV per atom: -0.325
Relative energy among the computed polymorphs in kJ/mol of atoms: 0.00


no.,electronic total energy (eV per atom)
1,-4.049
2,-2.296
3,-6.583
4,-3.929
5,-4.692
6,-3.479
7,-6.411
8,-3.839
9,-5.276
10,-5.113
11,-2.493